# HfAlSn3

A relaxed HfAlSn3 crystal (PBE-GGA, Alexandria via LeMat-Bulk).

Properties
- calculated volume (A^3/atom) = 27.86
- raw total energy (eV for the cell shown) = -21.9
- energy of formation from the pure elements (eV/atom) = 0.76

a = 5.184 Å, b = 5.184 Å, c = 5.184 Å
α = 90.00°, β = 90.00°, γ = 90.00°
Atoms (fractional coordinates):
Hf (0.500, 0.500, 0.500)
Sn (0.000, 0.500, 0.000)
Sn (0.000, 0.000, 0.500)
Sn (0.500, 0.000, 0.000)
Al (0.000, 0.000, 0.000)

=====

# BaSrAlAs2

A relaxed BaSrAlAs2 crystal (PBE-GGA, Alexandria via LeMat-Bulk).

Properties
- calculated volume (A^3/atom) = 33.91
- raw total energy (eV for the cell shown) = -40.0
- energy of formation from the pure elements (eV/atom) = -0.67

a = 5.424 Å, b = 7.567 Å, c = 8.535 Å
α = 104.47°, β = 90.00°, γ = 90.00°
Atoms (fractional coordinates):
Ba (0.211, 0.500, 0.750)
Ba (0.789, 0.500, 0.250)
Sr (0.479, 0.000, 0.250)
Sr (0.521, 0.000, 0.750)
Al (0.000, 0.000, 0.000)
Al (0.000, 0.000, 0.500)
As (0.741, 0.738, 0.953)
As (0.741, 0.262, 0.547)
As (0.259, 0.738, 0.453)
As (0.259, 0.262, 0.047)

=====

no.,energy above the most stable polymorph in this dataset (eV/f.u.),ρ (g/cm3)
1,1.34,6.695
2,0.00,3.934